Entry 1:
ReBC2: relaxed, GGA-PBE.

Output
Crystal system: tetragonal
Total DFT energy (no corrections), eV/atom: -8.6209
Formation enthalpy at 0 K, eV per atom: 0.772

abc: 4.3645 4.3645 5.0806
angles: 64.56 64.56 90.00
With the nearest neighbours (Å) after each atom.
Fractional coordinates of all 8 atoms:
C (0.5651, 0.1250, 0.2500)  2 B 1.70
B (0.2500, 0.7500, 0.5000)  4 C 1.70
C (0.3750, 0.4349, 0.7500)  2 B 1.70
C (0.8750, 0.8151, 0.7500)  2 B 1.70
C (0.1849, 0.6250, 0.2500)  2 B 1.70
Re (0.7500, 0.2500, 0.5000)  4 C 2.01
B (0.5000, 0.5000, 0.0000)  4 C 1.70
Re (0.0000, 0.0000, 0.0000)  4 C 2.01

Entry 2:
YPuGaCu: relaxed, GGA-PBE.

Output
Crystal system: cubic
Total DFT energy (no corrections), eV/atom: -7.1954
Formation enthalpy at 0 K, eV per atom: -0.216

abc: 5.0102 5.0102 5.0102
angles: 60.00 60.00 60.00
With the nearest neighbours (Å) after each atom.
Fractional coordinates of all 4 atoms:
Pu (0.5000, 0.5000, 0.5000)  4 Cu 3.07, 4 Ga 3.07
Y (0.0000, 0.0000, 0.0000)  4 Ga 3.07, 4 Cu 3.07
Cu (0.7500, 0.7500, 0.7500)  4 Pu 3.07, 4 Y 3.07
Ga (0.2500, 0.2500, 0.2500)  4 Pu 3.07, 4 Y 3.07

Entry 3:
Sr2FeOs: relaxed, GGA-PBE.

Output
Crystal system: cubic
Total DFT energy (no corrections), eV/atom: -4.4773
Energy relative to the lowest polymorph listed for this composition, meV/atom: 1067
Formation enthalpy at 0 K, eV per atom: 1.287

abc: 5.1030 5.1030 5.1030
angles: 60.00 60.00 60.00
With the nearest neighbours (Å) after each atom.
Fractional coordinates of all 4 atoms:
Os (0.5000, 0.5000, 0.5000)  8 Sr 3.12
Fe (0.0000, 0.0000, 0.0000)  8 Sr 3.12
Sr (0.7500, 0.7500, 0.7500)  4 Os 3.12, 4 Fe 3.12
Sr (0.2500, 0.2500, 0.2500)  4 Os 3.12, 4 Fe 3.12

Entry 4:
MnPtAu2: relaxed, GGA-PBE.

Output
Crystal system: orthorhombic
Total DFT energy (no corrections), eV/atom: -5.5796
Formation enthalpy at 0 K, eV per atom: -0.138

abc: 5.0246 5.0246 5.0310
angles: 133.28 133.27 68.16
With the nearest neighbours (Å) after each atom.
Fractional coordinates of all 4 atoms:
Au (0.9999, 0.0000, 0.0000)  4 Au 2.81-2.82, 4 Pt 2.88, 4 Mn 2.88
Au (0.5001, 0.5000, 0.0000)  4 Au 2.81-2.82, 4 Pt 2.88, 4 Mn 2.88
Mn (0.7500, 0.2500, 0.5000)  4 Pt 2.82, 8 Au 2.88
Pt (0.2500, 0.7500, 0.5000)  4 Mn 2.82, 8 Au 2.88

Entry 5:
ZnFeBr2: relaxed, GGA-PBE.

Output
Crystal system: tetragonal
Total DFT energy (no corrections), eV/atom: -3.1651
Energy relative to the lowest polymorph listed for this composition, meV/atom: 203

abc: 3.3448 3.3448 8.0805
angles: 90.00 90.00 90.00
With the nearest neighbours (Å) after each atom.
Fractional coordinates of all 4 atoms:
Fe (0.0000, 0.0000, 0.5365)  4 Zn 2.77, 5 Br 2.79-2.91
Br (0.5000, 0.5000, 0.3525)  4 Fe 2.79, 1 Zn 2.93
Zn (0.5000, 0.5000, 0.7147)  4 Fe 2.77, 5 Br 2.78-2.93
Br (0.0000, 0.0000, 0.8963)  4 Zn 2.78, 1 Fe 2.91

Entry 6:
Li2AlSi2Rh5: relaxed, GGA-PBE.

Output
Crystal system: tetragonal
Total DFT energy (no corrections), eV/atom: -6.2018

abc: 3.0326 9.7714 9.7714
angles: 90.00 90.00 90.00
With the nearest neighbours (Å) after each atom.
Fractional coordinates of all 20 atoms:
Rh (0.5000, 0.6983, 0.4290)  2 Si 2.32, 2 Al 2.56
Rh (0.5000, 0.5710, 0.6983)  2 Si 2.32, 2 Al 2.56
Al (0.0000, 0.0000, 0.0000)  8 Rh 2.56
Al (0.0000, 0.5000, 0.5000)  8 Rh 2.56
Li (0.0000, 0.1702, 0.3298)  3 Si 2.72-2.98, 6 Rh 2.80-2.96, 2 Li 3.03
Rh (0.5000, 0.0710, 0.8017)  2 Si 2.32, 2 Al 2.56
Rh (0.5000, 0.5000, 0.0000)  4 Si 2.38
Li (0.0000, 0.8298, 0.6702)  3 Si 2.72-2.98, 6 Rh 2.80-2.96, 2 Li 3.03
Si (0.0000, 0.1328, 0.6328)  6 Rh 2.32-2.38
Si (0.0000, 0.3672, 0.1328)  6 Rh 2.32-2.38
Rh (0.5000, 0.9290, 0.1983)  2 Si 2.32, 2 Al 2.56
Rh (0.5000, 0.4290, 0.3017)  2 Si 2.32, 2 Al 2.56
Rh (0.5000, 0.8017, 0.9290)  2 Si 2.32, 2 Al 2.56
Li (0.0000, 0.3298, 0.8298)  3 Si 2.72-2.98, 6 Rh 2.80-2.96, 2 Li 3.03
Rh (0.5000, 0.0000, 0.5000)  4 Si 2.38
Si (0.0000, 0.6328, 0.8672)  6 Rh 2.32-2.38
Li (0.0000, 0.6702, 0.1702)  3 Si 2.72-2.98, 6 Rh 2.80-2.96, 2 Li 3.03
Si (0.0000, 0.8672, 0.3672)  6 Rh 2.32-2.38
Rh (0.5000, 0.1983, 0.0710)  2 Si 2.32, 2 Al 2.56
Rh (0.5000, 0.3017, 0.5710)  2 Si 2.32, 2 Al 2.56

Entry 7:
K2YRh: relaxed, GGA-PBE.

Output
Crystal system: orthorhombic
Total DFT energy (no corrections), eV/atom: -3.3572
Energy relative to the lowest polymorph listed for this composition, meV/atom: 699
Formation enthalpy at 0 K, eV per atom: 0.645

abc: 6.7086 6.7086 3.6389
angles: 90.00 90.00 129.89
With the nearest neighbours (Å) after each atom.
Fractional coordinates of all 4 atoms:
K (0.0000, 0.0000, 0.0000)  2 K 2.84
Y (0.0000, 0.5000, 0.5000)  2 Rh 2.84
Rh (0.5000, 0.0000, 0.5000)  2 Y 2.84
K (0.5000, 0.5000, 0.0000)  2 K 2.84

Entry 8:
Sm5Bi4Se: relaxed, GGA-PBE.

Output
Crystal system: tetragonal
Total DFT energy (no corrections), eV/atom: -5.3427
Energy relative to the lowest polymorph listed for this composition, meV/atom: 12

abc: 4.4973 4.4973 16.1505
angles: 98.00 98.00 90.00
With the nearest neighbours (Å) after each atom.
Fractional coordinates of all 10 atoms:
Bi (0.5992, 0.5992, 0.1984)  6 Sm 3.14-3.22
Se (0.0000, 0.0000, 0.0000)  6 Sm 2.99-3.18
Sm (0.2992, 0.2992, 0.5985)  6 Bi 3.18-3.22
Sm (0.5000, 0.5000, 0.0000)  2 Bi 3.14, 4 Se 3.18
Sm (0.9054, 0.9054, 0.8109)  1 Se 2.99, 5 Bi 3.18-3.26
Bi (0.1976, 0.1976, 0.3952)  6 Sm 3.18-3.26
Sm (0.7008, 0.7008, 0.4015)  6 Bi 3.18-3.22
Sm (0.0946, 0.0946, 0.1891)  1 Se 2.99, 5 Bi 3.18-3.26
Bi (0.8024, 0.8024, 0.6048)  6 Sm 3.18-3.26
Bi (0.4008, 0.4008, 0.8016)  6 Sm 3.14-3.22

Entry 9:
LaNi2Te: relaxed, GGA-PBE.

Output
Crystal system: tetragonal
Total DFT energy (no corrections), eV/atom: -5.2556

abc: 4.7371 4.7371 8.9375
angles: 74.63 74.63 90.00
With the nearest neighbours (Å) after each atom.
Fractional coordinates of all 8 atoms:
Ni (0.8750, 0.6977, 0.7500)  2 Te 2.41, 2 Ni 2.47
Te (0.5000, 0.5000, 0.0000)  4 Ni 2.41
Ni (0.4477, 0.1250, 0.2500)  2 Te 2.41, 2 Ni 2.47
La (0.0000, 0.0000, 0.0000)  4 Ni 3.13, 4 Te 3.35
La (0.7500, 0.2500, 0.5000)  4 Ni 3.13, 4 Te 3.35
Te (0.2500, 0.7500, 0.5000)  4 Ni 2.41
Ni (0.3750, 0.5523, 0.7500)  2 Te 2.41, 2 Ni 2.47
Ni (0.3023, 0.6250, 0.2500)  2 Te 2.41, 2 Ni 2.47

Entry 10:
U2Si3Pt5: relaxed, GGA-PBE.

Output
Crystal system: orthorhombic
Total DFT energy (no corrections), eV/atom: -7.6330

abc: 4.3258 6.7703 11.9246
angles: 90.00 100.45 90.00
With the nearest neighbours (Å) after each atom.
Fractional coordinates of all 20 atoms:
Pt (0.1215, 0.2364, 0.2429)  2 Si 2.43-2.48
Si (0.7768, 0.6712, 0.5536)  5 Pt 2.40-2.68
Si (0.9461, 0.4544, 0.8921)  5 Pt 2.48-2.62
U (0.5185, 0.2637, 0.0370)  8 Pt 2.94-3.26, 6 Si 2.95-3.12
Pt (0.7285, 0.9835, 0.4570)  3 Si 2.40-2.51
Si (0.0539, 0.9544, 0.1079)  5 Pt 2.48-2.62
Si (0.3959, 0.0839, 0.7918)  4 Pt 2.44-2.56
Pt (0.3064, 0.8995, 0.6129)  2 Si 2.44-2.68
Pt (0.2715, 0.4835, 0.5430)  3 Si 2.40-2.51
Si (0.6041, 0.5839, 0.2082)  4 Pt 2.44-2.56
U (0.1716, 0.7429, 0.3432)  4 Si 2.89-3.14, 8 Pt 2.93-3.22
Pt (0.0498, 0.5683, 0.0997)  4 Si 2.51-2.62, 1 Pt 2.81
U (0.4815, 0.7637, 0.9630)  8 Pt 2.94-3.26, 6 Si 2.95-3.12
Si (0.2232, 0.1712, 0.4464)  5 Pt 2.40-2.68
Pt (0.9502, 0.0683, 0.9003)  4 Si 2.51-2.62, 1 Pt 2.81
Pt (0.6083, 0.9611, 0.2167)  3 Si 2.51-2.56
Pt (0.6936, 0.3995, 0.3871)  2 Si 2.44-2.68
U (0.8284, 0.2429, 0.6568)  4 Si 2.89-3.14, 8 Pt 2.93-3.22
Pt (0.3917, 0.4611, 0.7833)  3 Si 2.51-2.56
Pt (0.8785, 0.7364, 0.7571)  2 Si 2.43-2.48

Entry 11:
Tb6Ga3Bi: relaxed, GGA-PBE.

Output
Crystal system: orthorhombic
Total DFT energy (no corrections), eV/atom: -4.4619
Formation enthalpy at 0 K, eV per atom: -0.388

abc: 7.1544 9.0595 9.0595
angles: 108.66 90.00 90.00
With the nearest neighbours (Å) after each atom.
Fractional coordinates of all 20 atoms:
Ga (0.9563, 0.0096, 0.2656)  1 Ga 2.91, 6 Tb 2.93-3.24, 1 Bi 3.23
Tb (0.7519, 0.0308, 0.9692)  4 Ga 2.94-3.12, 2 Bi 3.04-3.26
Tb (0.7582, 0.9012, 0.5040)  3 Ga 2.93-3.15, 1 Bi 3.20
Ga (0.4563, 0.2656, 0.0096)  1 Ga 2.91, 6 Tb 2.93-3.24, 1 Bi 3.23
Tb (0.6951, 0.2995, 0.7005)  1 Bi 3.25, 3 Ga 3.38-3.42, 4 Tb 3.39-3.50
Tb (0.2582, 0.5040, 0.9012)  3 Ga 2.93-3.15, 1 Bi 3.20
Tb (0.7582, 0.4960, 0.0988)  3 Ga 2.93-3.15, 1 Bi 3.20
Tb (0.1043, 0.3199, 0.2466)  4 Ga 2.99-3.24, 1 Tb 3.32
Bi (0.0637, 0.1708, 0.8292)  5 Tb 3.04-3.26, 2 Ga 3.23
Tb (0.2519, 0.9692, 0.0308)  4 Ga 2.94-3.12, 2 Bi 3.04-3.26
Bi (0.5637, 0.8292, 0.1708)  5 Tb 3.04-3.26, 2 Ga 3.23
Ga (0.3370, 0.4536, 0.5464)  6 Tb 2.99-3.15
Tb (0.1043, 0.7534, 0.6801)  4 Ga 2.99-3.24, 1 Tb 3.32
Ga (0.9563, 0.7344, 0.9904)  1 Ga 2.91, 6 Tb 2.93-3.24, 1 Bi 3.23
Ga (0.8370, 0.5464, 0.4536)  6 Tb 2.99-3.15
Tb (0.6043, 0.2466, 0.3199)  4 Ga 2.99-3.24, 1 Tb 3.32
Ga (0.4563, 0.9904, 0.7344)  1 Ga 2.91, 6 Tb 2.93-3.24, 1 Bi 3.23
Tb (0.6043, 0.6801, 0.7534)  4 Ga 2.99-3.24, 1 Tb 3.32
Tb (0.2582, 0.0988, 0.4960)  3 Ga 2.93-3.15, 1 Bi 3.20
Tb (0.1951, 0.7005, 0.2995)  1 Bi 3.25, 3 Ga 3.38-3.42, 4 Tb 3.39-3.50

Entry 12:
CsSrBe2Pt: relaxed, GGA-PBE.

Output
Crystal system: tetragonal
Total DFT energy (no corrections), eV/atom: -2.9933
Formation enthalpy at 0 K, eV per atom: 0.212

abc: 4.7190 5.6469 4.7190
angles: 90.00 90.00 90.00
With the nearest neighbours (Å) after each atom.
Fractional coordinates of all 5 atoms:
Be (0.5000, 0.0000, 0.0000)  2 Pt 2.36
Be (0.0000, 0.0000, 0.5000)  2 Pt 2.36
Sr (0.0000, 0.5000, 0.0000)  2 Pt 2.82
Pt (0.0000, 0.0000, 0.0000)  4 Be 2.36
Cs (0.5000, 0.5000, 0.5000)  4 Sr 3.34, 8 Be 3.68

Entry 13:
Nd4YHo2Tm2: relaxed, GGA-PBE.

Output
Crystal system: monoclinic
Total DFT energy (no corrections), eV/atom: -4.8250
Formation enthalpy at 0 K, eV per atom: 0.023

abc: 5.0730 8.0419 8.0349
angles: 107.43 90.00 108.39
With the nearest neighbours (Å) after each atom.
Fractional coordinates of all 9 atoms:
Ho (0.8883, 0.7766, 0.3306)  3 Tm 3.57, 7 Nd 3.58-3.63, 1 Y 3.58, 1 Ho 3.63
Nd (0.7768, 0.5536, 0.6682)  3 Tm 3.56-3.58, 3 Ho 3.58-3.63, 1 Y 3.60, 5 Nd 3.61-3.62
Tm (0.3320, 0.6640, 0.0003)  5 Nd 3.56-3.61, 2 Tm 3.56, 3 Ho 3.57, 2 Y 3.61
Y (0.0000, 0.0000, 0.0000)  6 Nd 3.58-3.60, 2 Ho 3.58, 4 Tm 3.61
Nd (0.2232, 0.4464, 0.3318)  3 Tm 3.56-3.58, 3 Ho 3.58-3.63, 1 Y 3.60, 5 Nd 3.61-3.62
Ho (0.1117, 0.2234, 0.6694)  3 Tm 3.57, 7 Nd 3.58-3.63, 1 Y 3.58, 1 Ho 3.63
Tm (0.6680, 0.3360, 0.9997)  5 Nd 3.56-3.61, 2 Tm 3.56, 3 Ho 3.57, 2 Y 3.61
Nd (0.4462, 0.8924, 0.6687)  4 Ho 3.58-3.62, 2 Y 3.58, 2 Tm 3.58-3.61, 4 Nd 3.59-3.62
Nd (0.5538, 0.1076, 0.3313)  4 Ho 3.58-3.62, 2 Y 3.58, 2 Tm 3.58-3.61, 4 Nd 3.59-3.62

Entry 14:
Zr2BrCl: relaxed, GGA-PBE.

Output
Crystal system: cubic
Total DFT energy (no corrections), eV/atom: -5.2981
Energy relative to the lowest polymorph listed for this composition, meV/atom: 990

abc: 4.7943 4.7943 4.7943
angles: 60.00 60.00 60.00
With the nearest neighbours (Å) after each atom.
Fractional coordinates of all 4 atoms:
Zr (0.2500, 0.2500, 0.2500)  4 Br 2.94, 4 Cl 2.94
Br (0.5000, 0.5000, 0.5000)  8 Zr 2.94
Zr (0.7500, 0.7500, 0.7500)  4 Br 2.94, 4 Cl 2.94
Cl (0.0000, 0.0000, 0.0000)  8 Zr 2.94

Entry 15:
La2TiV: relaxed, GGA-PBE.

Output
Crystal system: cubic
Total DFT energy (no corrections), eV/atom: -6.3206
Energy relative to the lowest polymorph listed for this composition, meV/atom: 0
Formation enthalpy at 0 K, eV per atom: 0.396

abc: 5.2888 5.2888 5.2888
angles: 60.00 60.00 60.00
With the nearest neighbours (Å) after each atom.
Fractional coordinates of all 4 atoms:
Ti (0.0000, 0.0000, 0.0000)  8 La 3.24
La (0.7500, 0.7500, 0.7500)  4 V 3.24, 4 Ti 3.24
V (0.5000, 0.5000, 0.5000)  8 La 3.24
La (0.2500, 0.2500, 0.2500)  4 V 3.24, 4 Ti 3.24

Entry 16:
RbGaBi: relaxed, GGA-PBE.

Output
Crystal system: orthorhombic
Total DFT energy (no corrections), eV/atom: -2.7380
Formation enthalpy at 0 K, eV per atom: -0.113

abc: 5.3629 5.5646 7.7903
angles: 89.99 90.00 90.00
With the nearest neighbours (Å) after each atom.
Fractional coordinates of all 6 atoms:
Bi (0.3122, 0.8289, 0.7529)  4 Ga 3.01-3.04
Ga (0.3121, 0.3289, 0.5950)  4 Bi 3.01-3.04
Rb (0.3117, 0.3289, 0.0804)  4 Bi 3.77-3.78, 2 Ga 3.78-4.01, 4 Rb 3.87
Rb (0.8117, 0.8289, 0.0929)  4 Bi 3.77-3.78, 2 Ga 3.78-4.01, 4 Rb 3.87
Bi (0.8123, 0.3289, 0.4204)  4 Ga 3.01-3.04
Ga (0.8121, 0.8288, 0.5783)  4 Bi 3.01-3.04

Entry 17:
Ho4Tl3Cu: relaxed, GGA-PBE.

Output
Crystal system: orthorhombic
Total DFT energy (no corrections), eV/atom: -3.9396
Energy relative to the lowest polymorph listed for this composition, meV/atom: 60
Formation enthalpy at 0 K, eV per atom: -0.251

abc: 3.8185 4.7759 11.6226
angles: 90.00 90.00 90.00
With the nearest neighbours (Å) after each atom.
Fractional coordinates of all 8 atoms:
Tl (0.0000, 0.5000, 0.5900)  5 Ho 3.14-3.28, 2 Tl 3.16
Tl (0.5000, 0.0000, 0.9216)  2 Cu 3.01, 7 Ho 3.11-3.21
Ho (0.0000, 0.0000, 0.1433)  3 Tl 3.12-3.21, 4 Cu 3.15
Ho (0.5000, 0.5000, 0.3293)  1 Cu 2.91, 4 Tl 3.20
Cu (0.5000, 0.5000, 0.0788)  7 Ho 2.91-3.15, 2 Tl 3.01
Ho (0.5000, 0.0000, 0.6529)  7 Tl 3.12-3.39
Tl (0.0000, 0.0000, 0.4118)  7 Ho 3.12-3.39, 2 Tl 3.16
Ho (0.0000, 0.5000, 0.8724)  2 Cu 3.07, 5 Tl 3.11-3.28

Entry 18:
NpCdHgPt: relaxed, GGA-PBE.

Output
Crystal system: cubic
Total DFT energy (no corrections), eV/atom: -5.1553
Formation enthalpy at 0 K, eV per atom: -0.106

abc: 4.9867 4.9867 4.9867
angles: 60.00 60.00 60.00
With the nearest neighbours (Å) after each atom.
Fractional coordinates of all 4 atoms:
Pt (0.5000, 0.5000, 0.5000)  4 Np 3.05, 4 Cd 3.05
Cd (0.7500, 0.7500, 0.7500)  4 Hg 3.05, 4 Pt 3.05
Np (0.2500, 0.2500, 0.2500)  4 Hg 3.05, 4 Pt 3.05
Hg (0.0000, 0.0000, 0.0000)  4 Cd 3.05, 4 Np 3.05

Entry 19:
CaCeSm2: relaxed, GGA-PBE.

Output
Crystal system: tetragonal
Total DFT energy (no corrections), eV/atom: -4.2622
Energy relative to the lowest polymorph listed for this composition, meV/atom: 1
Formation enthalpy at 0 K, eV per atom: 0.081

abc: 3.6156 3.6156 10.3925
angles: 90.00 90.00 90.00
With the nearest neighbours (Å) after each atom.
Fractional coordinates of all 4 atoms:
Ca (0.5000, 0.5000, 0.5000)  4 Ca 3.62, 8 Sm 3.83
Sm (0.0000, 0.0000, 0.2253)  4 Ce 3.47, 4 Sm 3.62, 4 Ca 3.83
Sm (0.0000, 0.0000, 0.7747)  4 Ce 3.47, 4 Sm 3.62, 4 Ca 3.83
Ce (0.5000, 0.5000, 0.0000)  8 Sm 3.47, 4 Ce 3.62

The records above yield theoretical density values of 9.5; 8.7; 7.4; 16.2; 5.2; 7.0; 3.6; 8.6; 6.9; 14.9; 8.2; 5.7; 7.5; 6.3; 6.0; 5.2; 10.5; 14.1; 5.9 g cm⁻³, respectively.